VASP calculation (GGA-PBE) on Er5NiRh4 after structural relaxation.

a = 3.360 Å, b = 3.360 Å, c = 17.241 Å
α = 90.00°, β = 90.00°, γ = 90.00°
Atoms (fractional coordinates):
Er 0.000 0.000 0.000
Er 0.000 0.000 0.201
Er 0.000 0.000 0.401
Er 0.000 0.000 0.599
Er 0.000 0.000 0.799
Ni 0.500 0.500 0.500
Rh 0.500 0.500 0.101
Rh 0.500 0.500 0.302
Rh 0.500 0.500 0.698
Rh 0.500 0.500 0.899

Results
Its symmetry is P4/mmm. Its density of states at the Fermi level is 0.46 states/eV per atom. Its formation energy is -0.8337 eV/atom.

---

VASP calculation (GGA-PBE) on ErSi2Ni2Rh after structural relaxation.

a = 4.466 Å, b = 4.466 Å, c = 5.233 Å
α = 90.00°, β = 90.00°, γ = 90.00°
Atoms (fractional coordinates):
Er 0.000 0.000 0.000
Si 0.000 0.500 0.500
Si 0.500 0.000 0.500
Ni 0.500 0.500 0.254
Ni 0.500 0.500 0.746
Rh 0.000 0.000 0.500

Results
Its symmetry is P4/mmm. Its density of states at the Fermi level is 0.35 states/eV per atom. The value obtained for the uncorrected formation energy is -0.187 eV per atom.

---

VASP calculation (GGA-PBE) on ErSi3NiRh after structural relaxation.

a = 7.190 Å, b = 7.190 Å, c = 5.458 Å
α = 90.00°, β = 90.00°, γ = 129.96°
Atoms (fractional coordinates):
Er 0.191 0.809 0.750
Er 0.809 0.191 0.250
Si 0.215 0.785 0.250
Si 0.286 0.286 0.000
Si 0.286 0.286 0.500
Si 0.714 0.714 0.000
Si 0.714 0.714 0.500
Si 0.785 0.215 0.750
Ni 0.047 0.953 0.250
Ni 0.953 0.047 0.750
Rh 0.387 0.613 0.250
Rh 0.613 0.387 0.750

Results
Its symmetry is Cmcm. Its density of states at the Fermi level is 0.36 states/eV per atom. The value obtained for the uncorrected formation energy is -0.465 eV per atom.

---

VASP calculation (GGA-PBE) on ErSi2NiRh after structural relaxation.

a = 5.693 Å, b = 5.693 Å, c = 5.693 Å
α = 139.19°, β = 139.19°, γ = 59.09°
Atoms (fractional coordinates):
Er 0.000 0.000 0.000
Si 0.380 0.380 0.000
Si 0.620 0.620 0.000
Ni 0.250 0.750 0.500
Rh 0.750 0.250 0.500

Results
Its symmetry is I-4m2. Its density of states at the Fermi level is 0.70 states/eV per atom. The value obtained for the uncorrected formation energy is -0.950 eV per atom.

---

VASP calculation (GGA-PBE) on Er2Si3Ni12Rh after structural relaxation.

a = 6.247 Å, b = 6.247 Å, c = 6.247 Å
α = 85.09°, β = 85.09°, γ = 85.09°
Atoms (fractional coordinates):
Er 0.179 0.179 0.179
Er 0.821 0.821 0.821
Si 0.000 0.500 0.500
Si 0.500 0.000 0.500
Si 0.500 0.500 0.000
Ni 0.108 0.108 0.607
Ni 0.108 0.607 0.108
Ni 0.197 0.693 0.693
Ni 0.307 0.307 0.803
Ni 0.307 0.803 0.307
Ni 0.393 0.892 0.892
Ni 0.607 0.108 0.108
Ni 0.693 0.197 0.693
Ni 0.693 0.693 0.197
Ni 0.803 0.307 0.307
Ni 0.892 0.393 0.892
Ni 0.892 0.892 0.393
Rh 0.500 0.500 0.500

Results
Its symmetry is R-3m. Its density of states at the Fermi level is 1.01 states/eV per atom. The value obtained for the uncorrected formation energy is -0.111 eV per atom.

---

VASP calculation (GGA-PBE) on Er3Si6Ni2Rh after structural relaxation.

a = 5.616 Å, b = 5.616 Å, c = 7.740 Å
α = 90.00°, β = 90.00°, γ = 120.00°
Atoms (fractional coordinates):
Er 0.000 0.000 0.000
Er 0.333 0.667 0.613
Er 0.667 0.333 0.387
Si 0.189 0.378 0.282
Si 0.189 0.811 0.282
Si 0.378 0.189 0.718
Si 0.622 0.811 0.282
Si 0.811 0.189 0.718
Si 0.811 0.622 0.718
Ni 0.333 0.667 0.040
Ni 0.667 0.333 0.960
Rh 0.000 0.000 0.500

Results
Its symmetry is P-3m1. Its density of states at the Fermi level is 0.55 states/eV per atom. The value obtained for the uncorrected formation energy is -0.407 eV per atom.

---

VASP calculation (GGA-PBE) on Er2Ni2SnRh5 after structural relaxation.

a = 9.228 Å, b = 9.228 Å, c = 3.860 Å
α = 90.00°, β = 90.00°, γ = 90.00°
Atoms (fractional coordinates):
Er 0.173 0.327 0.000
Er 0.327 0.827 0.000
Er 0.673 0.173 0.000
Er 0.827 0.673 0.000
Ni 0.122 0.622 0.000
Ni 0.378 0.122 0.000
Ni 0.622 0.878 0.000
Ni 0.878 0.378 0.000
Sn 0.000 0.000 0.000
Sn 0.500 0.500 0.000
Rh 0.000 0.500 0.500
Rh 0.071 0.790 0.500
Rh 0.210 0.071 0.500
Rh 0.290 0.571 0.500
Rh 0.429 0.290 0.500
Rh 0.500 0.000 0.500
Rh 0.571 0.710 0.500
Rh 0.710 0.429 0.500
Rh 0.790 0.929 0.500
Rh 0.929 0.210 0.500

Results
Its symmetry is P4/mbm. Its density of states at the Fermi level is 1.00 states/eV per atom. Its formation energy is -0.5746 eV/atom.

---

VASP calculation (GGA-PBE) on ErTlNiRh after structural relaxation.

a = 4.682 Å, b = 4.682 Å, c = 4.682 Å
α = 60.00°, β = 60.00°, γ = 60.00°
Atoms (fractional coordinates):
Er 0.000 0.000 0.000
Tl 0.500 0.500 0.500
Ni 0.250 0.250 0.250
Rh 0.750 0.750 0.750

Results
Its symmetry is F-43m. Its density of states at the Fermi level is 0.74 states/eV per atom. Its formation energy is -0.3555 eV/atom.

---

VASP calculation (GGA-PBE) on YErNiRh after structural relaxation.

a = 4.135 Å, b = 5.590 Å, c = 5.590 Å
α = 39.60°, β = 90.00°, γ = 90.00°
Atoms (fractional coordinates):
Y 0.000 0.000 0.000
Er 0.500 0.717 0.717
Ni 0.500 0.435 0.435
Rh 0.000 0.278 0.278

Results
Its symmetry is Amm2. Its density of states at the Fermi level is 0.60 states/eV per atom. The calculation puts the excess energy over the best structure of this formula in the dataset at 0.0 meV/atom. Its formation energy is -0.6585 eV/atom.

---

VASP calculation (GGA-PBE) on YErNiRh after structural relaxation.

a = 4.810 Å, b = 4.810 Å, c = 4.810 Å
α = 60.00°, β = 60.00°, γ = 60.00°
Atoms (fractional coordinates):
Y 0.000 0.000 0.000
Er 0.500 0.500 0.500
Ni 0.750 0.750 0.750
Rh 0.250 0.250 0.250

Results
Its symmetry is F-43m. Its density of states at the Fermi level is 0.45 states/eV per atom. The calculation puts the excess energy over the best structure of this formula in the dataset at 19.2 meV/atom. Its formation energy is -0.6393 eV/atom.

---

VASP calculation (GGA-PBE) on Er2ZnNi2Rh5 after structural relaxation.

a = 9.106 Å, b = 9.106 Å, c = 3.827 Å
α = 90.00°, β = 90.00°, γ = 90.00°
Atoms (fractional coordinates):
Er 0.174 0.326 0.000
Er 0.326 0.826 0.000
Er 0.674 0.174 0.000
Er 0.826 0.674 0.000
Zn 0.000 0.000 0.000
Zn 0.500 0.500 0.000
Ni 0.124 0.624 0.000
Ni 0.376 0.124 0.000
Ni 0.624 0.876 0.000
Ni 0.876 0.376 0.000
Rh 0.000 0.500 0.500
Rh 0.067 0.795 0.500
Rh 0.205 0.067 0.500
Rh 0.295 0.567 0.500
Rh 0.433 0.295 0.500
Rh 0.500 0.000 0.500
Rh 0.567 0.705 0.500
Rh 0.705 0.433 0.500
Rh 0.795 0.933 0.500
Rh 0.933 0.205 0.500

Results
Its symmetry is P4/mbm. Its density of states at the Fermi level is 1.03 states/eV per atom. Its formation energy is -0.4891 eV/atom.

---

VASP calculation (GGA-PBE) on ErZrNiRh after structural relaxation.

a = 4.700 Å, b = 4.700 Å, c = 4.700 Å
α = 60.00°, β = 60.00°, γ = 60.00°
Atoms (fractional coordinates):
Er 0.000 0.000 0.000
Zr 0.500 0.500 0.500
Ni 0.250 0.250 0.250
Rh 0.750 0.750 0.750

Results
Its symmetry is F-43m. Its density of states at the Fermi level is 1.37 states/eV per atom. Its formation energy is -0.5757 eV/atom.

---

VASP calculation (GGA-PBE) on Er4NiRu after structural relaxation.

a = 6.103 Å, b = 6.511 Å, c = 7.526 Å
α = 90.00°, β = 107.81°, γ = 90.00°
Atoms (fractional coordinates):
Er 0.002 0.000 0.258
Er 0.002 0.500 0.258
Er 0.430 0.250 0.104
Er 0.448 0.250 0.615
Er 0.552 0.750 0.385
Er 0.570 0.750 0.896
Er 0.998 0.000 0.742
Er 0.998 0.500 0.742
Ni 0.238 0.750 0.563
Ni 0.762 0.250 0.437
Ru 0.215 0.750 0.051
Ru 0.785 0.250 0.949

Results
Its symmetry is P2_1/m. Its density of states at the Fermi level is 0.87 states/eV per atom. The calculation puts the excess energy over the best structure of this formula in the dataset at 0.0 meV/atom. Its formation energy is -0.3238 eV/atom.

---

VASP calculation (GGA-PBE) on Er3Ni7Ru2 after structural relaxation.

a = 8.789 Å, b = 8.789 Å, c = 8.789 Å
α = 32.89°, β = 32.89°, γ = 32.89°
Atoms (fractional coordinates):
Er 0.000 0.000 0.000
Er 0.139 0.139 0.139
Er 0.861 0.861 0.861
Ni 0.083 0.585 0.585
Ni 0.415 0.415 0.917
Ni 0.415 0.917 0.415
Ni 0.500 0.500 0.500
Ni 0.585 0.083 0.585
Ni 0.585 0.585 0.083
Ni 0.917 0.415 0.415
Ru 0.333 0.333 0.333
Ru 0.667 0.667 0.667

Results
Its symmetry is R-3m. Its density of states at the Fermi level is 0.84 states/eV per atom. Its formation energy is -0.3613 eV/atom.

---

VASP calculation (GGA-PBE) on Er4NiRu3 after structural relaxation.

a = 4.769 Å, b = 4.769 Å, c = 6.708 Å
α = 90.00°, β = 90.00°, γ = 90.00°
Atoms (fractional coordinates):
Er 0.000 0.500 0.248
Er 0.000 0.500 0.752
Er 0.500 0.000 0.248
Er 0.500 0.000 0.752
Ni 0.000 0.000 0.500
Ru 0.000 0.000 0.000
Ru 0.500 0.500 0.000
Ru 0.500 0.500 0.500

Results
Its symmetry is P4/mmm. Its density of states at the Fermi level is 0.58 states/eV per atom. Its formation energy is -0.4316 eV/atom.

---

VASP calculation (GGA-PBE) on Er4NiRu after structural relaxation.

a = 7.542 Å, b = 7.542 Å, c = 7.542 Å
α = 106.28°, β = 106.28°, γ = 116.06°
Atoms (fractional coordinates):
Er 0.202 0.501 0.701
Er 0.251 0.050 0.799
Er 0.251 0.452 0.201
Er 0.298 0.000 0.298
Er 0.702 0.000 0.702
Er 0.750 0.548 0.798
Er 0.750 0.952 0.202
Er 0.800 0.501 0.299
Ni 0.749 0.249 0.500
Ni 0.999 0.999 0.000
Ru 0.252 0.752 0.500
Ru 0.502 0.502 0.000

Results
Its symmetry is I4_1md. Its density of states at the Fermi level is 0.79 states/eV per atom. The calculation puts the excess energy over the best structure of this formula in the dataset at 89.4 meV/atom. Its formation energy is -0.2344 eV/atom.

---

VASP calculation (GGA-PBE) on Er6NiRu5 after structural relaxation.

a = 7.520 Å, b = 7.520 Å, c = 6.745 Å
α = 90.00°, β = 90.00°, γ = 143.03°
Atoms (fractional coordinates):
Er 0.000 0.000 0.248
Er 0.000 0.000 0.752
Er 0.332 0.668 0.249
Er 0.332 0.668 0.751
Er 0.668 0.332 0.249
Er 0.668 0.332 0.751
Ni 0.500 0.500 0.500
Ru 0.165 0.835 0.500
Ru 0.166 0.834 0.000
Ru 0.500 0.500 0.000
Ru 0.834 0.166 0.000
Ru 0.835 0.165 0.500

Results
Its symmetry is Cmmm. Its density of states at the Fermi level is 0.86 states/eV per atom. Its formation energy is -0.4145 eV/atom.

---

VASP calculation (GGA-PBE) on Er8NiRu2 after structural relaxation.

a = 7.453 Å, b = 7.453 Å, c = 5.854 Å
α = 100.77°, β = 100.77°, γ = 112.50°
Atoms (fractional coordinates):
Er 0.000 0.000 0.000
Er 0.027 0.288 0.586
Er 0.151 0.571 0.194
Er 0.288 0.027 0.586
Er 0.446 0.708 0.788
Er 0.571 0.151 0.194
Er 0.708 0.446 0.788
Er 0.722 0.722 0.381
Ni 0.357 0.357 0.361
Ru 0.057 0.678 0.687
Ru 0.678 0.057 0.687

Results
Its symmetry is Cm. Its density of states at the Fermi level is 0.89 states/eV per atom. The calculation puts the excess energy over the best structure of this formula in the dataset at 44.8 meV/atom. Its formation energy is -0.2226 eV/atom.

---

VASP calculation (GGA-PBE) on Er6NiRu2 after structural relaxation.

a = 6.410 Å, b = 7.330 Å, c = 11.133 Å
α = 90.00°, β = 123.38°, γ = 90.00°
Atoms (fractional coordinates):
Er 0.089 0.047 0.242
Er 0.089 0.453 0.742
Er 0.226 0.674 0.069
Er 0.226 0.826 0.569
Er 0.399 0.174 0.066
Er 0.399 0.326 0.566
Er 0.601 0.674 0.434
Er 0.601 0.826 0.934
Er 0.774 0.174 0.431
Er 0.774 0.326 0.931
Er 0.911 0.547 0.258
Er 0.911 0.953 0.758
Ni 0.500 0.000 0.500
Ni 0.500 0.500 0.000
Ru 0.302 0.119 0.762
Ru 0.302 0.381 0.262
Ru 0.698 0.619 0.738
Ru 0.698 0.881 0.238

Results
Its symmetry is P2_1/c. Its density of states at the Fermi level is 0.72 states/eV per atom. Its formation energy is -0.3354 eV/atom.

---

VASP calculation (GGA-PBE) on Er4Ni3Ru after structural relaxation.

a = 3.346 Å, b = 3.346 Å, c = 13.445 Å
α = 90.00°, β = 90.00°, γ = 90.00°
Atoms (fractional coordinates):
Er 0.000 0.000 0.124
Er 0.000 0.000 0.376
Er 0.000 0.000 0.624
Er 0.000 0.000 0.876
Ni 0.500 0.500 0.000
Ni 0.500 0.500 0.247
Ni 0.500 0.500 0.753
Ru 0.500 0.500 0.500

Results
Its symmetry is P4/mmm. Its density of states at the Fermi level is 0.40 states/eV per atom. Its formation energy is -0.4560 eV/atom.

---

VASP calculation (GGA-PBE) on ErNiRu after structural relaxation.

a = 4.590 Å, b = 4.590 Å, c = 5.403 Å
α = 90.00°, β = 90.00°, γ = 120.39°
Atoms (fractional coordinates):
Er 0.169 0.831 0.750
Er 0.831 0.169 0.250
Ni 0.162 0.838 0.250
Ni 0.838 0.162 0.750
Ru 0.500 0.500 0.000
Ru 0.500 0.500 0.500

Results
Its symmetry is Cmcm. Its density of states at the Fermi level is 1.36 states/eV per atom. The calculation puts the excess energy over the best structure of this formula in the dataset at 233.8 meV/atom. Its formation energy is -0.1843 eV/atom.

---

VASP calculation (GGA-PBE) on Er4Ni2Ru after structural relaxation.

a = 5.720 Å, b = 5.720 Å, c = 8.279 Å
α = 123.31°, β = 123.31°, γ = 44.09°
Atoms (fractional coordinates):
Er 0.084 0.084 0.376
Er 0.312 0.312 0.913
Er 0.688 0.688 0.087
Er 0.916 0.916 0.624
Ni 0.360 0.360 0.353
Ni 0.640 0.640 0.647
Ru 0.000 0.000 0.000

Results
Its symmetry is C2/m. Its density of states at the Fermi level is 0.64 states/eV per atom. Its formation energy is -0.3622 eV/atom.